Entry 1:
! Na2Ni2Ge | the Alexandria database | GGA-PBE | optimized geometry; values from VASP
&SYSTEM
  ibrav = 0, nat = 10, ntyp = 3
/
ATOMIC_SPECIES
Na 22.99 Na.upf
Ge 72.64 Ge.upf
Ni 58.69 Ni.upf
ATOMIC_POSITIONS angstrom
Na -2.210 0.681 -2.367
Na -2.139 2.787 -4.666
Ge 0.613 1.054 -4.054
Na -1.399 -1.552 -4.389
Ge 0.000 0.000 0.000
Na -1.328 0.555 -6.687
Ni 0.718 2.464 -5.881
Ni 0.019 2.839 -2.711
Ni 0.508 -0.355 -2.226
Ni 1.207 -0.730 -5.396
CELL_PARAMETERS angstrom
-0.307 5.085 -3.144
1.533 -2.976 -4.963
-4.764 -0.873 -0.948
! E_form = 28 meV/atom
! E = -3.736 eV per atom
! crystal system = tetragonal

***

Entry 2:
! NaNiGe3 | the Alexandria database | GGA-PBE | optimized geometry; values from VASP
&SYSTEM
  ibrav = 0, nat = 5, ntyp = 3
/
ATOMIC_SPECIES
Na 22.99 Na.upf
Ni 58.69 Ni.upf
Ge 72.64 Ge.upf
ATOMIC_POSITIONS angstrom
Na 2.347 2.347 2.347
Ni 0.000 0.000 0.000
Ge 0.000 0.000 2.347
Ge 0.000 2.347 0.000
Ge 2.347 0.000 0.000
CELL_PARAMETERS angstrom
4.695 0.000 0.000
0.000 4.695 0.000
0.000 0.000 4.695
! E_form = 135 meV/atom
! energy above the lowest structure with this stoichiometry = 0.000 eV/atom
! E = -4.056 eV per atom
! crystal system = cubic